# 1
The following is a DFT calculation (PBE-GGA) of an optimized crystal structure of In2HgPd3.

Results
As for the space group: P4/mmm, No. 123. The total energy comes out at -3.953 eV per atom. The calculation puts the formation energy at -393 meV/atom.

Cell: 3.330 3.330 9.740 Å, 90.00 90.00 90.00°
Fractional coordinates of all 6 atoms:
In  0.500  0.500  0.833
In  0.500  0.500  0.167
Pd  0.000  0.000  0.678
Pd  0.000  0.000  0.000
Pd  0.000  0.000  0.322
Hg  0.500  0.500  0.500

---

# 2
The following is a DFT calculation (PBE-GGA) of an optimized crystal structure of LaErRu.

Results
As for the space group: I4mm, No. 107. The total energy comes out at -6.527 eV per atom. The relative energy among the computed polymorphs comes out at 0 meV per atom. The calculation puts the formation energy at -271 meV/atom.

Cell: 3.449 3.449 7.155 Å, 103.95 103.95 90.00°
Fractional coordinates of all 3 atoms:
Er  0.289  0.289  0.578
La  0.038  0.038  0.077
Ru  0.673  0.673  0.345

---

# 3
The following is a DFT calculation (PBE-GGA) of an optimized crystal structure of ScCd.

Results
As for the space group: P2_13, No. 198. The total energy comes out at -3.723 eV per atom. The calculation puts the formation energy at -99 meV/atom.

Cell: 5.701 5.701 5.701 Å, 90.00 90.00 90.00°
Fractional coordinates of all 8 atoms:
Sc  0.913  0.587  0.413
Sc  0.413  0.913  0.587
Sc  0.587  0.413  0.913
Sc  0.087  0.087  0.087
Cd  0.408  0.408  0.408
Cd  0.092  0.592  0.908
Cd  0.592  0.908  0.092
Cd  0.908  0.092  0.592

---

# 4
The following is a DFT calculation (PBE-GGA) of an optimized crystal structure of Cs3LiPu2S6.

Results
As for the space group: C2/m, No. 12. The total energy comes out at -6.183 eV per atom.

Cell: 7.125 7.125 8.297 Å, 98.09 98.09 120.14°
Fractional coordinates of all 12 atoms:
Pu  0.333  0.667  0.000
Pu  0.667  0.333  0.000
S  0.941  0.587  0.820
S  0.059  0.413  0.180
S  0.413  0.059  0.180
S  0.708  0.708  0.174
S  0.587  0.941  0.820
S  0.292  0.292  0.826
Cs  0.158  0.842  0.500
Cs  0.842  0.158  0.500
Cs  0.500  0.500  0.500
Li  0.000  0.000  0.000

---

# 5
The following is a DFT calculation (PBE-GGA) of an optimized crystal structure of ZnHgSbI2.

Results
As for the space group: P4/mmm, No. 123. The total energy comes out at -1.552 eV per atom. The relative energy among the computed polymorphs comes out at 0 meV per atom.

Cell: 5.676 5.676 5.399 Å, 90.00 90.00 90.00°
Fractional coordinates of all 5 atoms:
Sb  0.000  0.000  0.500
I  0.000  0.500  0.000
I  0.500  0.000  0.000
Hg  0.500  0.500  0.500
Zn  0.000  0.000  0.000

---

# 6
The following is a DFT calculation (PBE-GGA) of an optimized crystal structure of BaTaSe2.

Results
As for the space group: I-4m2, No. 119. The total energy comes out at -5.163 eV per atom. The relative energy among the computed polymorphs comes out at 846 meV per atom.

Cell: 7.002 7.002 7.002 Å, 144.83 144.83 50.58°
Fractional coordinates of all 4 atoms:
Ta  0.500  0.500  0.000
Ba  0.750  0.250  0.500
Se  0.250  0.750  0.500
Se  0.000  0.000  0.000

---

# 7
The following is a DFT calculation (PBE-GGA) of an optimized crystal structure of Sm2Zn4Pt5.

Results
As for the space group: Fmmm, No. 69. The total energy comes out at -4.817 eV per atom. The calculation puts the formation energy at -750 meV/atom.

Cell: 5.648 5.456 8.374 Å, 79.95 70.29 58.83°
Fractional coordinates of all 11 atoms:
Pt  0.750  0.500  0.500
Pt  0.500  0.000  0.000
Pt  0.500  0.500  0.000
Pt  0.000  0.500  0.000
Pt  0.250  0.500  0.500
Sm  0.123  0.000  0.753
Sm  0.877  0.000  0.247
Zn  0.214  0.310  0.261
Zn  0.524  0.690  0.261
Zn  0.786  0.690  0.739
Zn  0.476  0.310  0.739

---

# 8
The following is a DFT calculation (PBE-GGA) of an optimized crystal structure of Na3TeH.

Results
As for the space group: C2/m, No. 12. The total energy comes out at -2.711 eV per atom. The relative energy among the computed polymorphs comes out at 22 meV per atom.

Cell: 8.700 5.540 6.712 Å, 89.94 67.29 50.45°
Fractional coordinates of all 10 atoms:
Te  0.583  0.287  0.621
Te  0.916  0.453  0.954
Na  0.087  0.782  0.612
Na  0.087  0.783  0.125
Na  0.924  0.445  0.450
Na  0.575  0.295  0.125
Na  0.412  0.957  0.450
Na  0.412  0.958  0.962
H  0.249  0.870  0.287
H  0.250  0.370  0.287